Density functional theory data (PBE-GGA) for a relaxed YZrSi2 crystal.

a = 5.512 Å, b = 5.512 Å, c = 3.808 Å
α = 90.00°, β = 90.00°, γ = 42.68°
Element x y z (fractional)
Y1 0.519 0.519 0.625
Si1 0.950 0.950 0.125
Si2 0.794 0.794 0.625
Zr1 0.236 0.236 0.125

Properties
polymorph energy (0 for the lowest one): 1 meV per atom
ΔE_f (raw): -0.84 eV/atom
volume: 78.4 Å³ per cell